Material: HfRePO2
Method: DFT, GGA-PBE
State: optimized geometry

POSCAR file:
```
HfRePO2
1.0
3.778 0.000 0.000
0.000 3.778 0.000
0.000 0.000 5.327
O P Re Hf
2 1 1 1
Cartesian
1.889 0.000 0.000 O
0.000 1.889 0.000 O
0.000 0.000 2.663 P
0.000 0.000 0.000 Re
1.889 1.889 2.663 Hf
```

Calculated values
density of states at the Fermi level	3.251	states/eV/cell
magnetic moment	0.001	Bohr magnetons per cell
energy relative to the lowest polymorph listed for this composition	0.000	eV per atom
total DFT energy (no corrections)	-41.591	eV/f.u.
space-group type	No. 123
energy relative to the elements, uncorrected	-0.773	eV/atom